Entry 1:
The following is a DFT calculation (PBE) of crystalline NaLaSe3 at its relaxed geometry.

The structure in POSCAR format:
```
NaLaSe3
1.0
5.803 0.000 0.000
0.000 5.803 0.000
0.000 0.000 5.803
Se Na La
3 1 1
Cartesian
2.901 0.000 0.000
0.000 2.901 0.000
0.000 0.000 2.901
2.901 2.901 2.901
0.000 0.000 0.000
```

Raw formation energy, eV/atom: -0.81
Space-group type: Pm-3m, No. 221
Energy above the most stable polymorph in this dataset, meV per atom: 0
Crystal system: cubic

***

Entry 2:
The following is a DFT calculation (PBE) of crystalline NaSc2PaO6 at its relaxed geometry.

The structure in POSCAR format:
```
NaSc2PaO6
1.0
5.638 0.000 0.000
2.819 4.883 0.000
2.819 1.628 4.883
O Sc Pa Na
6 2 1 1
Cartesian
7.461 3.432 1.113
4.573 4.746 1.113
6.667 2.063 3.692
4.090 2.960 3.692
6.156 4.743 3.692
4.880 1.588 1.113
5.638 3.255 2.101
2.819 1.628 4.634
2.819 1.628 0.333
8.457 4.883 3.008
```

Raw formation energy, eV/atom: -3.25
Space-group type: R3, No. 146
Crystal system: trigonal

***

Entry 3:
The following is a DFT calculation (PBE) of crystalline CeSbTe2 at its relaxed geometry.

The structure in POSCAR format:
```
CeSbTe2
1.0
4.260 0.000 0.000
2.130 3.689 0.000
2.130 1.230 9.853
Te Sb Ce
2 1 1
Cartesian
2.130 1.230 6.848
6.390 3.689 3.005
0.000 0.000 0.000
4.260 2.460 4.927
```

Raw formation energy, eV/atom: -0.52
Space-group type: R-3m, No. 166
Crystal system: trigonal

***

Entry 4:
The following is a DFT calculation (PBE) of crystalline HfCdPb at its relaxed geometry.

The structure in POSCAR format:
```
HfCdPb
1.0
-2.386 0.946 -1.850
-3.234 -2.853 2.711
0.873 4.835 1.345
Hf Pb Cd
1 1 1
Cartesian
-1.303 2.592 1.174
-3.584 0.391 0.922
-2.245 0.890 -1.741
```

Space-group type: P3m1, No. 156
Energy above the most stable polymorph in this dataset, meV per atom: 146
Crystal system: trigonal